A plane-wave DFT calculation with PBE was carried out for crystalline LiZnOs2 at its relaxed geometry.

```
LiZnOs2
1.0
3.796 0.000 0.000
0.000 2.749 0.009
0.000 2.729 5.417
Os Zn Li
2 1 1
Direct
0.500 0.278 0.221
0.000 0.976 0.023
0.000 0.477 0.524
0.500 0.769 0.731
```

Properties
spin magnetization: 0.00 μB/f.u.
formation enthalpy at 0 K: 0.097 eV per atom